Computed, not measured: crystalline Li3DySe3 at its relaxed geometry at the PBE level of DFT.

abc: 7.3343 7.3343 7.9527
angles: 62.54 62.54 60.00
Last column: nearest neighbours and their distance in Å.
Fractional coordinates of all 14 atoms:
Li  0.1297  0.4199  0.6373  4 Se 2.55-2.63
Li  0.1868  0.8703  0.3627  4 Se 2.55-2.63
Li  0.8132  0.1297  0.6373  4 Se 2.55-2.63
Li  0.4199  0.8132  0.6373  4 Se 2.55-2.63
Li  0.8703  0.5801  0.3627  4 Se 2.55-2.63
Li  0.5801  0.1868  0.3627  4 Se 2.55-2.63
Se  0.7236  0.4457  0.7522  4 Li 2.55-2.63
Se  0.5543  0.9215  0.2478  4 Li 2.55-2.63
Se  0.9215  0.2764  0.2478  4 Li 2.55-2.63
Se  0.0785  0.7236  0.7522  4 Li 2.55-2.63
Se  0.4457  0.0785  0.7522  4 Li 2.55-2.63
Se  0.2764  0.5543  0.2478  4 Li 2.55-2.63
Dy  0.6661  0.6661  0.0016  6 Se 2.87-2.89
Dy  0.3339  0.3339  0.9984  6 Se 2.87-2.89

## Properties
Energy relative to the elements, uncorrected, eV per atom: -1.4914
Uncorrected energy, eV per atom: -4.4625
Crystal system: trigonal